No. 1
HoThSeS after structural relaxation, computed with PBE.

Cell lengths 3.9066, 3.9060, 7.5626 Å; angles 90.00, 104.98, 119.99 degrees
With the nearest neighbours (Å) after each atom.
Sites, in units of the cell vectors:
Ho1 0.1210 0.9584 0.0953  3 S 2.71-2.72, 3 Se 2.91
Th1 0.4844 0.1401 0.6394  3 S 2.87, 3 Se 3.08
Se1 0.9574 0.3767 0.3493  3 Ho 2.91, 3 Th 3.08
S1 0.3151 0.5555 0.8856  3 Ho 2.71-2.72, 3 Th 2.87


No. 2
Ba6AgRh2I3 after structural relaxation, computed with PBE.

Cell lengths 8.1147, 8.1147, 9.0799 Å; angles 98.56, 98.56, 119.95 degrees
With the nearest neighbours (Å) after each atom.
Sites, in units of the cell vectors:
Ba1 0.9321 0.5695 0.7958  2 Rh 3.13-3.14, 1 Ag 3.43
Ba2 0.7055 0.7055 0.2011  2 Rh 3.14, 1 Ag 3.41
Ba3 0.0679 0.4305 0.2042  2 Rh 3.13-3.14, 1 Ag 3.43
Ba4 0.5695 0.9321 0.7958  2 Rh 3.13-3.14, 1 Ag 3.43
Ba5 0.2945 0.2945 0.7989  2 Rh 3.14, 1 Ag 3.41
Ba6 0.4305 0.0679 0.2042  2 Rh 3.13-3.14, 1 Ag 3.43
Ag1 0.0000 0.0000 0.0000  6 Ba 3.41-3.43
Rh1 0.3326 0.6674 0.0000  6 Ba 3.13-3.14
Rh2 0.6674 0.3326 0.0000  6 Ba 3.13-3.14
I1 0.1601 0.8399 0.5000  6 Ba 3.62-3.83
I2 0.8399 0.1601 0.5000  6 Ba 3.62-3.83
I3 0.5000 0.5000 0.5000  6 Ba 3.58-3.82


Density of states at the Fermi level, record by record: 0.770; 0.625 states/eV/atom
Uncorrected formation energy, record by record: -1.722; -0.815 eV per atom
Calculated density, record by record: 8.84; 5.10 Mg/m³